1.
# BaMo2Pt (PBE, optimized geometry)
data_BaMo2Pt
_chemical_formula_sum 'Ba3 Mo6 Pt3'
_space_group_name_H-M_alt 'R -3 m'
_space_group_IT_number 166
_space_group_name_Hall '-R 3 2"'
_cell_length_a 2.9618
_cell_length_b 2.9618
_cell_length_c 31.9082
_cell_angle_alpha 90.00
_cell_angle_beta 90.00
_cell_angle_gamma 120.00
loop_
_atom_site_label
_atom_site_fract_x
_atom_site_fract_y
_atom_site_fract_z
Ba1 0.0000 0.0000 0.0000
Mo1 0.0000 0.0000 0.2356
Pt1 0.0000 0.0000 0.5000
# - Excess energy over the best structure of this formula in the dataset: 633 meV per atom

---

2.
An optimized crystal structure of Ba2ReMoPt. Source: Alexandria, functional PBE.

```
data_Ba2ReMoPt
_chemical_formula_sum 'Ba2 Re1 Mo1 Pt1'
_space_group_name_H-M_alt 'P 4/m m m'
_space_group_IT_number 123
_space_group_name_Hall '-P 4 2'
_cell_length_a 6.114
_cell_length_b 6.114
_cell_length_c 4.852
_cell_angle_alpha 90.00
_cell_angle_beta 90.00
_cell_angle_gamma 90.00
loop_
_atom_site_label
_atom_site_fract_x
_atom_site_fract_y
_atom_site_fract_z
Ba1 0.000 0.500 0.000
Re1 0.000 0.000 0.500
Mo1 0.500 0.500 0.500
Pt1 0.000 0.000 0.000
```

---

3.
An optimized crystal structure of Ba2TlMoPt. Source: Alexandria, functional PBE.

```
data_Ba2TlMoPt
_chemical_formula_sum 'Ba2 Tl1 Mo1 Pt1'
_space_group_name_H-M_alt 'P 4/m m m'
_space_group_IT_number 123
_space_group_name_Hall '-P 4 2'
_cell_length_a 6.450
_cell_length_b 6.450
_cell_length_c 5.228
_cell_angle_alpha 90.00
_cell_angle_beta 90.00
_cell_angle_gamma 90.00
loop_
_atom_site_label
_atom_site_fract_x
_atom_site_fract_y
_atom_site_fract_z
Ba1 0.000 0.500 0.000
Tl1 0.000 0.000 0.000
Mo1 0.000 0.000 0.500
Pt1 0.500 0.500 0.500
```

---

4.
An optimized crystal structure of BaTl2MoPt. Source: Alexandria, functional PBE.

```
data_BaTl2MoPt
_chemical_formula_sum 'Ba1 Tl2 Mo1 Pt1'
_space_group_name_H-M_alt 'P 4/m m m'
_space_group_IT_number 123
_space_group_name_Hall '-P 4 2'
_cell_length_a 6.162
_cell_length_b 6.162
_cell_length_c 5.257
_cell_angle_alpha 90.00
_cell_angle_beta 90.00
_cell_angle_gamma 90.00
loop_
_atom_site_label
_atom_site_fract_x
_atom_site_fract_y
_atom_site_fract_z
Ba1 0.000 0.000 0.000
Tl1 0.000 0.500 0.000
Mo1 0.000 0.000 0.500
Pt1 0.500 0.500 0.500
```

---

5.
# RbBaMo2 (PBE, optimized geometry)
data_RbBaMo2
_chemical_formula_sum 'Rb4 Ba4 Mo8'
_space_group_name_H-M_alt 'F m -3 m'
_space_group_IT_number 225
_space_group_name_Hall '-F 4 2 3'
_cell_length_a 8.292
_cell_length_b 8.292
_cell_length_c 8.292
_cell_angle_alpha 90.00
_cell_angle_beta 90.00
_cell_angle_gamma 90.00
loop_
_atom_site_label
_atom_site_fract_x
_atom_site_fract_y
_atom_site_fract_z
Rb1 0.000 0.000 0.000
Ba1 0.000 0.000 0.500
Mo1 0.250 0.250 0.250
# - Excess energy over the best structure of this formula in the dataset: 0 meV per atom

---

6.
# RbBa2Mo2 (PBE, optimized geometry)
data_RbBa2Mo2
_chemical_formula_sum 'Rb2 Ba4 Mo4'
_space_group_name_H-M_alt 'I 4/m m m'
_space_group_IT_number 139
_space_group_name_Hall '-I 4 2'
_cell_length_a 3.731
_cell_length_b 3.731
_cell_length_c 27.999
_cell_angle_alpha 90.00
_cell_angle_beta 90.00
_cell_angle_gamma 90.00
loop_
_atom_site_label
_atom_site_fract_x
_atom_site_fract_y
_atom_site_fract_z
Rb1 0.000 0.000 0.000
Ba1 0.000 0.000 0.352
Mo1 0.000 0.500 0.250
# - Excess energy over the best structure of this formula in the dataset: 0 meV per atom

---

7.
# Rb2BaMo (PBE, optimized geometry)
data_Rb2BaMo
_chemical_formula_sum 'Rb8 Ba4 Mo4'
_space_group_name_H-M_alt 'I -4 2 d'
_space_group_IT_number 122
_space_group_name_Hall 'I -4 2bw'
_cell_length_a 5.344
_cell_length_b 5.344
_cell_length_c 29.725
_cell_angle_alpha 90.00
_cell_angle_beta 90.00
_cell_angle_gamma 90.00
loop_
_atom_site_label
_atom_site_fract_x
_atom_site_fract_y
_atom_site_fract_z
Rb1 0.229 0.250 0.125
Ba1 0.000 0.000 0.500
Mo1 0.000 0.000 0.000
# - Excess energy over the best structure of this formula in the dataset: 0 meV per atom

---

8.
# Rb2BaMo (PBE, optimized geometry)
data_Rb2BaMo
_chemical_formula_sum 'Rb8 Ba4 Mo4'
_space_group_name_H-M_alt 'F m -3 m'
_space_group_IT_number 225
_space_group_name_Hall '-F 4 2 3'
_cell_length_a 9.379
_cell_length_b 9.379
_cell_length_c 9.379
_cell_angle_alpha 90.00
_cell_angle_beta 90.00
_cell_angle_gamma 90.00
loop_
_atom_site_label
_atom_site_fract_x
_atom_site_fract_y
_atom_site_fract_z
Rb1 0.250 0.250 0.250
Ba1 0.000 0.000 0.000
Mo1 0.000 0.000 0.500
# - Excess energy over the best structure of this formula in the dataset: 61 meV per atom

---

no.,D(E_F) (states/eV per cell),ΔH_f (0 K) (meV per atom),VASP energy (eV/atom)
1,20.8,947,-6.4599
2,4.4,1293,-5.3398
3,2.2,951,-3.6653
4,4.8,2021,-2.6842
5,24.9,2110,-4.0280
6,12.0,698,-4.5969
7,16.5,1226,-2.4461
8,20.0,1288,-2.3847